An optimized crystal structure of La2Cd3Ni2, computed with PBE.

```
La2Cd3Ni2
1.0
4.1051 0.0000 0.0000
-2.0525 5.1331 -0.7176
0.0000 0.3267 7.5072
Cd La Ni
3 2 2
direct
0.0000 0.0000 0.0000
0.3219 0.6439 0.1395
0.6781 0.3561 0.8605
0.6272 0.2544 0.3516
0.3728 0.7456 0.6484
0.9241 0.8482 0.3641
0.0759 0.1518 0.6359
```

## Properties
Calculated formation energy in kJ/mol of formula units: -205


An optimized crystal structure of LaCdNi, computed with PBE.

```
LaCdNi
1.0
4.4018 0.0000 0.0000
0.0000 5.2204 0.0064
-2.2009 -1.1208 6.0045
Cd La Ni
2 2 2
direct
0.5852 0.7803 0.1703
0.4148 0.2197 0.8297
0.8671 0.6962 0.7343
0.1329 0.3038 0.2657
0.7783 0.1355 0.5566
0.2217 0.8645 0.4434
```

## Properties
Calculated formation energy in kJ/mol of formula units: -102


An optimized crystal structure of La6Cd5Ni, computed with PBE.

```
La6Cd5Ni
1.0
-2.6627 4.2926 -2.0372
-6.8122 -3.6091 1.2995
-5.0665 3.6431 7.0775
La Cd Ni
6 5 1
direct
0.1525 0.9239 0.6936
0.5000 0.7808 0.9999
0.8476 0.6177 0.3063
0.8475 0.0761 0.3064
0.5000 0.2192 0.0001
0.1524 0.3823 0.6937
0.0000 0.5000 0.0000
0.6888 0.1899 0.6204
0.3112 0.8101 0.3796
0.3327 0.3317 0.3366
0.6673 0.6683 0.6634
0.0000 0.0000 0.0000
```

## Properties
Calculated formation energy in kJ/mol of formula units: -351


An optimized crystal structure of La2CdNi, computed with PBE.

```
La2CdNi
1.0
8.2141 0.0000 0.0000
0.0000 8.2141 0.0000
4.1070 4.1070 3.3125
La Ni Cd
4 2 2
direct
0.8750 0.8148 0.7500
0.3750 0.4352 0.7500
0.1852 0.6250 0.2500
0.5648 0.1250 0.2500
0.5000 0.5000 0.0000
0.2500 0.7500 0.5000
0.0000 0.0000 0.0000
0.7500 0.2500 0.5000
```

## Properties
Calculated formation energy in kJ/mol of formula units: -27


Computed electronic total energy, in the same sequence as the records: -26.287 -25.360 -43.562 -33.654 eV for the cell shown.